No. 1
The following is a PBE calculation of a geometry-optimized CrGa2I6Br2 structure, from Alexandria.

Values from the calculation:
- symmetry = P-3, No. 147
- total magnetization (μB/atom) = 0.364
- formation energy (no corrections) (eV per atom) = -0.458
- theoretical density (g/cm3) = 3.9
- DOS(E_F) (states/eV per atom) = 0.60

Unit cell a=7.256 b=7.256 c=10.357 alpha=90.00 beta=90.00 gamma=120.00
Atoms (fractional coordinates):
Br  0.333  0.667  0.533
Ga  0.333  0.667  0.756
Ga  0.667  0.333  0.244
I  0.007  0.323  0.164
I  0.316  0.993  0.164
Cr  0.000  0.000  0.000
I  0.684  0.007  0.836
I  0.993  0.677  0.836
I  0.323  0.316  0.836
Br  0.667  0.333  0.467
I  0.677  0.684  0.164

No. 2
The following is a PBE calculation of a geometry-optimized YGaPdRu structure, from Alexandria.

Values from the calculation:
- symmetry = F-43m, No. 216
- total magnetization (μB/atom) = 0.000
- theoretical density (g/cm3) = 8.8
- DOS(E_F) (states/eV per atom) = 0.21
- formation energy from the elements (eV/atom) = -0.5292

Unit cell a=4.609 b=4.609 c=4.609 alpha=60.00 beta=60.00 gamma=60.00
Atoms (fractional coordinates):
Ru  0.750  0.750  0.750
Ga  0.000  0.000  0.000
Pd  0.250  0.250  0.250
Y  0.500  0.500  0.500

No. 3
The following is a PBE calculation of a geometry-optimized Y2TaO2 structure, from Alexandria.

Values from the calculation:
- symmetry = P4/mbm, No. 127
- total magnetization (μB/atom) = 0.000
- offset from the most stable computed form (meV/atom) = 216
- formation energy (no corrections) (eV per atom) = -1.357
- theoretical density (g/cm3) = 8.6
- DOS(E_F) (states/eV per atom) = 0.41

Unit cell a=6.898 b=6.898 c=3.177 alpha=90.00 beta=90.00 gamma=90.00
Atoms (fractional coordinates):
Ta  0.000  0.000  0.000
Y  0.336  0.164  0.500
Y  0.664  0.836  0.500
O  0.648  0.148  0.000
O  0.352  0.852  0.000
Y  0.164  0.664  0.500
O  0.148  0.352  0.000
Ta  0.500  0.500  0.000
Y  0.836  0.336  0.500
O  0.852  0.648  0.000

No. 4
The following is a PBE calculation of a geometry-optimized NbIn2Hg structure, from Alexandria.

Values from the calculation:
- symmetry = R-3m, No. 166
- total magnetization (μB/atom) = 0.000
- theoretical density (g/cm3) = 8.7
- DOS(E_F) (states/eV per atom) = 0.89
- formation energy from the elements (eV/atom) = 0.4425

Unit cell a=3.041 b=3.041 c=12.536 alpha=83.03 beta=83.03 gamma=60.00
Atoms (fractional coordinates):
Hg  0.500  0.500  0.500
In  0.921  0.921  0.237
In  0.079  0.079  0.763
Nb  0.000  0.000  0.000